# Pm3Sn5Ge

Crystalline Pm3Sn5Ge at its relaxed geometry (PBE, the Alexandria database).

## Properties
- total energy (eV per atom) = -4.748
- formation energy (eV/atom) = -0.43
- symmetry = P6_3/mcm, No. 193
- volume (Å³ per cell) = 490.1

Structure (POSCAR):
```
Pm3Sn5Ge
1.0
-3.248 -3.095 -4.594
5.932 -7.244 0.688
-7.741 0.248 5.306
Sn Pm Ge
10 6 2
direct
0.750 0.276 0.276 Sn
0.000 0.667 0.333 Sn
0.250 0.724 0.724 Sn
0.750 0.000 0.724 Sn
0.000 0.333 0.667 Sn
0.250 0.000 0.276 Sn
0.250 0.276 0.000 Sn
0.750 0.724 0.000 Sn
0.500 0.667 0.333 Sn
0.500 0.333 0.667 Sn
0.750 0.620 0.620 Pm
0.750 0.380 0.000 Pm
0.250 0.000 0.620 Pm
0.750 0.000 0.380 Pm
0.250 0.620 0.000 Pm
0.250 0.380 0.380 Pm
0.000 0.000 0.000 Ge
0.500 0.000 0.000 Ge
```